*i*
Density functional theory data (GGA-PBE) for a geometry-optimized KGaBr2 structure.

Lattice parameters (Å, degrees): 3.926 5.535 5.535 90.00 90.00 90.00
Sites, in units of the cell vectors:
K  0.500  0.500  0.500
Ga  0.500  0.000  0.000
Br  0.000  0.000  0.500
Br  0.000  0.500  0.000

Output
The volume is 30.07 Å³/atom. The density of states at the Fermi level comes out at 0.0 states/eV/f.u.


*ii*
Density functional theory data (GGA-PBE) for a geometry-optimized KGaBr2 structure.

Lattice parameters (Å, degrees): 4.521 4.521 8.285 74.16 74.16 60.00
Sites, in units of the cell vectors:
K  0.499  0.499  0.502
Ga  0.667  0.667  0.998
Br  0.079  0.079  0.764
Br  0.255  0.255  0.236

Output
The volume is 34.80 Å³/atom. The density of states at the Fermi level comes out at 0.0 states/eV/f.u.


Which of them is most stable? Easy: *ii*.


*i*
Density functional theory data (GGA-PBE) for a geometry-optimized CuIr2W structure.

Lattice parameters (Å, degrees): 4.776 4.776 4.707 80.56 80.56 33.36
Sites, in units of the cell vectors:
Cu  0.255  0.255  0.236
Ir  0.008  0.008  0.019
Ir  0.743  0.743  0.731
W  0.494  0.494  0.514

Output
The volume is 14.54 Å³/atom. The density of states at the Fermi level comes out at 4.0 states/eV/f.u.


*ii*
Density functional theory data (GGA-PBE) for a geometry-optimized CuIr2W structure.

Lattice parameters (Å, degrees): 2.716 2.716 8.950 90.00 90.00 116.27
Sites, in units of the cell vectors:
Cu  0.500  0.500  0.750
Ir  0.000  0.000  0.998
Ir  0.000  0.000  0.502
W  0.500  0.500  0.250

Output
The volume is 14.80 Å³/atom. The density of states at the Fermi level comes out at 2.7 states/eV/f.u.


Which of them is most stable? Easy: *i*.